Crystalline AcHo2Er6 at its relaxed geometry, computed with PBE.

space group: P-6m2
energy: -39.9 eV for the cell shown
crystal system: hexagonal

Cell: 3.6032 3.6032 26.1230 Å, 90.00 90.00 120.00°
Closest atoms and distances in Å follow each position.
Positions (direct):
1 Ac 0.0000 0.0000 0.0000  6 Ac 3.60, 6 Er 3.73
2 Ho 0.3333 0.6667 0.3311  6 Er 3.44-3.49, 6 Ho 3.60
3 Ho 0.3333 0.6667 0.6689  6 Er 3.44-3.49, 6 Ho 3.60
4 Er 0.0000 0.0000 0.2238  9 Er 3.45-3.60, 3 Ho 3.49
5 Er 0.0000 0.0000 0.4361  7 Er 3.34-3.60, 3 Ho 3.44
6 Er 0.0000 0.0000 0.5639  7 Er 3.34-3.60, 3 Ho 3.44
7 Er 0.0000 0.0000 0.7762  9 Er 3.45-3.60, 3 Ho 3.49
8 Er 0.3333 0.6667 0.1184  9 Er 3.45-3.60, 3 Ac 3.73
9 Er 0.3333 0.6667 0.8816  9 Er 3.45-3.60, 3 Ac 3.73



Crystalline Tm2ThZrSc5 at its relaxed geometry, computed with PBE.

space group: Cmc2_1
energy: -110.8 eV for the cell shown
crystal system: orthorhombic

Cell: 9.8237 9.8237 9.8268 Å, 90.00 90.00 149.50°
Closest atoms and distances in Å follow each position.
Positions (direct):
1 Tm 0.0143 0.9857 0.5000  6 Sc 3.09-3.42, 1 Tm 3.45
2 Tm 0.1282 0.8718 0.7736  4 Sc 3.24-3.37, 2 Th 3.36, 2 Tm 3.45-3.50, 1 Zr 3.50
3 Tm 0.8718 0.1282 0.2736  4 Sc 3.24-3.37, 2 Th 3.36, 2 Tm 3.45-3.50, 1 Zr 3.50
4 Tm 0.9857 0.0143 0.0000  6 Sc 3.09-3.42, 1 Tm 3.45
5 Th 0.3824 0.6176 0.4911  6 Sc 3.19-3.46, 2 Tm 3.36, 2 Zr 3.41
6 Th 0.6176 0.3824 0.9911  6 Sc 3.19-3.46, 2 Tm 3.36, 2 Zr 3.41
7 Zr 0.2268 0.7732 0.0748  4 Sc 2.79-3.07
8 Zr 0.7732 0.2268 0.5748  4 Sc 2.79-3.07
9 Sc 0.1010 0.8990 0.2229  1 Zr 2.79, 1 Tm 3.09, 3 Sc 3.12
10 Sc 0.2055 0.7945 0.4688  2 Zr 3.07, 5 Sc 3.12-3.22, 1 Tm 3.34, 1 Th 3.36
11 Sc 0.2990 0.7010 0.7730  1 Th 3.19, 7 Sc 3.21-3.57, 1 Tm 3.24, 3 Zr 3.27
12 Sc 0.3851 0.6149 0.0546  1 Zr 3.01, 4 Sc 3.21-3.23, 2 Tm 3.26
13 Sc 0.4872 0.5128 0.7724  4 Sc 3.12-3.38, 2 Th 3.28-3.40, 2 Tm 3.42
14 Sc 0.5128 0.4872 0.2724  4 Sc 3.12-3.38, 2 Th 3.28-3.40, 2 Tm 3.42
15 Sc 0.6149 0.3851 0.5546  1 Zr 3.01, 4 Sc 3.21-3.23, 2 Tm 3.26
16 Sc 0.7010 0.2990 0.2730  1 Th 3.19, 7 Sc 3.21-3.57, 1 Tm 3.24, 3 Zr 3.27
17 Sc 0.7945 0.2055 0.9688  2 Zr 3.07, 5 Sc 3.12-3.22, 1 Tm 3.34, 1 Th 3.36
18 Sc 0.8990 0.1010 0.7229  1 Zr 2.79, 1 Tm 3.09, 3 Sc 3.12



| no. | Fermi-level density of states (states/eV/f.u.) | total magnetization (μB per cell) | ΔE_f (meV per atom) |
| --- | --- | --- | --- |
| 1 | 15.5 | 1.58 | 82 |
| 2 | 13.9 | 0.00 | 130 |